NaNdAu2 | PBE-GGA | optimized geometry

Its density of states at the Fermi level is 0.721 states/eV/atom. Its crystal system is trigonal. The calculation puts the volume at 27.77 A^3/atom. Its total magnetization is 0.0 μB per cell. The value obtained for the energy above the lowest structure with this stoichiometry is 143 meV/atom. As for the formation energy: -0.445 eV per atom.

The space group is R-3m (No. 166, hexagonal axes) and the conventional cell measures 4.2248, 4.2248 and 21.5578 Å, with angles of 90.00, 90.00 and 120.00 degrees. The distinct sites, in fractional coordinates, are Na at (0.0000, 0.0000, 0.0000), Nd at (0.0000, 0.0000, 0.5000) and Au at (0.0000, 0.0000, 0.2487).

---

NaNdPAu | PBE-GGA | optimized geometry

Its density of states at the Fermi level is 0.006 states/eV/atom. Its crystal system is cubic. The calculation puts the volume at 22.60 A^3/atom. Its total magnetization is 0.0 μB per cell. As for the formation energy: -0.697 eV per atom.

The space group is F-43m (No. 216) and the conventional cell measures 7.1238, 7.1238 and 7.1238 Å, with angles of 90.00, 90.00 and 90.00 degrees. The distinct sites, in fractional coordinates, are Na at (0.0000, 0.0000, 0.0000), Nd at (0.0000, 0.0000, 0.5000), P at (0.2500, 0.2500, 0.2500) and Au at (0.2500, 0.2500, 0.7500).

---

NaNdPdAu | PBE-GGA | optimized geometry

Its density of states at the Fermi level is 0.643 states/eV/atom. Its crystal system is cubic. The calculation puts the volume at 22.68 A^3/atom. Its total magnetization is 0.0 μB per cell. As for the formation energy: -0.517 eV per atom.

The space group is F-43m (No. 216) and the conventional cell measures 7.1324, 7.1324 and 7.1324 Å, with angles of 90.00, 90.00 and 90.00 degrees. The distinct sites, in fractional coordinates, are Na at (0.0000, 0.0000, 0.0000), Nd at (0.0000, 0.0000, 0.5000), Pd at (0.2500, 0.2500, 0.2500) and Au at (0.2500, 0.2500, 0.7500).